10
Lattice="4.197 0.000 0.000 -2.099 3.635 0.000 0.000 0.000 10.174" Properties=species:S:1:pos:R:3 comment="BaUO3 | the Alexandria database | PBE | optimized geometry" total_energy_ev_per_cell=-81.1 pbc="T T T"
Ba 0.000 2.423 2.543
Ba 2.099 1.212 7.630
U 0.000 0.000 0.000
U 0.000 0.000 5.087
O 0.000 0.000 2.543
O 0.000 0.000 7.630
O 0.000 2.423 5.634
O 0.000 2.423 9.626
O 2.099 1.212 0.548
O 2.099 1.212 4.539

16
Lattice="2.153 -6.060 0.000 2.153 6.060 0.000 0.000 0.000 11.077" Properties=species:S:1:pos:R:3 comment="BaU2O5 | the Alexandria database | PBE | optimized geometry" total_energy_ev_per_cell=-147.9 pbc="T T T"
Ba 2.153 4.948 8.308
Ba 2.153 -4.948 2.769
U 2.153 1.679 6.177
U 2.153 1.679 10.438
U 2.153 -1.679 0.639
U 2.153 -1.679 4.900
O 2.153 3.922 0.095
O 2.153 3.922 5.444
O 2.153 2.288 8.308
O 2.153 0.455 1.234
O 2.153 0.455 4.304
O 2.153 -0.455 6.773
O 2.153 -0.455 9.843
O 2.153 -2.288 2.769
O 2.153 -3.922 5.633
O 2.153 -3.922 10.982